Below is a relaxed NdHo3Tc crystal, with properties calculated at the PBE level.

ΔE to the lowest computed polymorph in eV per atom: 0.182
E_form in eV/atom: 0.12
Size of the total moment in μB per atom: 0.0232
Fermi-level density of states in states/eV/f.u.: 8.8

Cell: 5.381 5.381 5.381 Å, 90.00 90.00 90.00°
Element x y z (fractional)
Nd: 0.500 0.500 0.500
Ho: 0.000 0.500 0.000
Ho: 0.000 0.000 0.500
Ho: 0.500 0.000 0.000
Tc: 0.000 0.000 0.000

***

Below is a relaxed NdHo2Tc crystal, with properties calculated at the PBE level.

ΔE to the lowest computed polymorph in eV per atom: 0.260
E_form in eV/atom: 0.19
Size of the total moment in μB per atom: 0.0000
Fermi-level density of states in states/eV/f.u.: 3.7

Cell: 4.826 4.826 5.852 Å, 65.65 65.65 60.00°
Element x y z (fractional)
Nd: 0.500 0.500 0.500
Ho: 0.274 0.274 0.179
Ho: 0.726 0.726 0.821
Tc: 0.000 0.000 0.000

***

Below is a relaxed NdHo2Tc crystal, with properties calculated at the PBE level.

ΔE to the lowest computed polymorph in eV per atom: 0.000
E_form in eV/atom: -0.07
Size of the total moment in μB per atom: 0.0000
Fermi-level density of states in states/eV/f.u.: 3.4

Cell: 6.352 7.503 9.167 Å, 90.00 90.00 90.00°
Element x y z (fractional)
Nd: 0.625 0.543 0.250
Nd: 0.875 0.043 0.250
Nd: 0.375 0.457 0.750
Nd: 0.125 0.957 0.750
Ho: 0.158 0.675 0.065
Ho: 0.342 0.175 0.435
Ho: 0.842 0.325 0.565
Ho: 0.658 0.825 0.935
Ho: 0.842 0.325 0.935
Ho: 0.658 0.825 0.565
Ho: 0.158 0.675 0.435
Ho: 0.342 0.175 0.065
Tc: 0.046 0.384 0.250
Tc: 0.454 0.884 0.250
Tc: 0.954 0.616 0.750
Tc: 0.546 0.116 0.750

***

> Which of these has the lowest Fermi-level density of states?

number 3

***

> The lowest ΔE to the lowest computed polymorph belongs to which entry?

number 3

***

> What is the E_form in the third record?

-0.07 eV/atom

***

> The highest Fermi-level density of states belongs to which entry?

NdHo3Tc